No. 1
The following is a DFT calculation (PBE) of a geometry-optimized Pr6TmIn2 structure.

## Properties
Final energy (eV/atom): -4.49
SG: C2/m
Crystal system: monoclinic
Energy above the lowest structure with this stoichiometry (meV/atom): 0
DFT formation energy (eV per formula unit): -1.8

Cell: 3.851 6.877 12.134 Å, 74.18 80.87 73.74°
Sites, in units of the cell vectors:
Pr1 0.676 0.526 0.122
Pr2 0.324 0.474 0.878
Pr3 0.307 0.791 0.595
Pr4 0.976 0.709 0.339
Pr5 0.024 0.291 0.661
Pr6 0.693 0.209 0.405
Tm1 0.000 0.000 0.000
In1 0.359 0.094 0.188
In2 0.641 0.906 0.812

No. 2
The following is a DFT calculation (PBE) of a geometry-optimized Fe2CBr structure.

## Properties
Final energy (eV/atom): -5.54
SG: Fm-3m
Uncorrected formation energy (kcal/mol of atoms): 32.538
Crystal system: cubic
Energy above the lowest structure with this stoichiometry (meV/atom): 821

Cell: 4.074 4.074 4.074 Å, 60.00 60.00 60.00°
Last column: magnetic moment on the atom in μB.
Sites, in units of the cell vectors:
C1 0.000 0.000 0.000  -0.18
Fe1 0.250 0.250 0.250  2.34
Fe2 0.750 0.750 0.750  2.34
Br1 0.500 0.500 0.500  0.01

No. 3
The following is a DFT calculation (PBE) of a geometry-optimized Li6Mg5Cd2 structure.

## Properties
Final energy (eV/atom): -1.69
SG: Pbam
Crystal system: orthorhombic
DFT formation energy (eV per formula unit): -0.7

Cell: 3.090 9.943 17.617 Å, 90.00 90.00 90.00°
Sites, in units of the cell vectors:
Li1 0.000 0.054 0.355
Li2 0.000 0.946 0.645
Li3 0.000 0.554 0.145
Li4 0.000 0.446 0.855
Li5 0.500 0.307 0.124
Li6 0.500 0.693 0.876
Li7 0.500 0.807 0.376
Li8 0.500 0.193 0.624
Li9 0.000 0.577 0.439
Li10 0.000 0.423 0.561
Li11 0.000 0.077 0.061
Li12 0.000 0.923 0.939
Mg1 0.500 0.298 0.425
Mg2 0.500 0.702 0.575
Mg3 0.500 0.798 0.075
Mg4 0.500 0.202 0.925
Mg5 0.500 0.547 0.293
Mg6 0.500 0.453 0.707
Mg7 0.500 0.047 0.207
Mg8 0.500 0.953 0.793
Mg9 0.500 0.500 0.000
Mg10 0.500 0.000 0.500
Cd1 0.000 0.294 0.265
Cd2 0.000 0.706 0.735
Cd3 0.000 0.794 0.235
Cd4 0.000 0.206 0.765

No. 4
The following is a DFT calculation (PBE) of a geometry-optimized Ac6Ir3Cl2 structure.

## Properties
Final energy (eV/atom): -6.07
SG: C2/m
Uncorrected formation energy (kcal/mol of atoms): -24.896
Crystal system: monoclinic

Cell: 7.591 7.599 8.073 Å, 80.99 71.72 60.03°
Sites, in units of the cell vectors:
Ac1 0.402 0.668 0.793
Ac2 0.734 0.000 0.794
Ac3 0.070 0.332 0.793
Ac4 0.266 0.000 0.206
Ac5 0.598 0.332 0.207
Ac6 0.930 0.668 0.207
Ir1 0.000 0.000 0.000
Ir2 0.331 0.338 0.000
Ir3 0.669 0.662 0.000
Cl1 0.167 0.666 0.500
Cl2 0.833 0.334 0.500

No. 5
The following is a DFT calculation (PBE) of a geometry-optimized CdTeIr structure.

## Properties
Final energy (eV/atom): -4.14
SG: P1
Uncorrected formation energy (kcal/mol of atoms): 3.792
Crystal system: triclinic
Energy above the lowest structure with this stoichiometry (meV/atom): 105

Cell: 3.228 3.869 6.368 Å, 86.51 90.19 65.29°
Sites, in units of the cell vectors:
Ir1 0.347 0.728 0.366
Te1 0.634 0.150 0.131
Cd1 0.673 0.079 0.664

No. 6
The following is a DFT calculation (PBE) of a geometry-optimized Al3SbRu structure.

## Properties
Final energy (eV/atom): -4.78
SG: Pm-3m
Uncorrected formation energy (kcal/mol of atoms): 3.241
Crystal system: cubic
Energy above the lowest structure with this stoichiometry (meV/atom): 0

Cell: 4.746 4.746 4.746 Å, 90.00 90.00 90.00°
Sites, in units of the cell vectors:
Sb1 0.500 0.500 0.500
Al1 0.000 0.500 0.000
Al2 0.000 0.000 0.500
Al3 0.500 0.000 0.000
Ru1 0.000 0.000 0.000

| no. | total magnetization (Bohr magnetons per cell) |
| --- | --- |
| 1 | 0.00 |
| 2 | 4.37 |
| 3 | 0.00 |
| 4 | 0.00 |
| 5 | 0.00 |
| 6 | 0.00 |